# 1
Pm6SiS4: optimized geometry, PBE.

abc: 4.0621 13.2299 20.4172
angles: 90.00 90.00 90.00
With the nearest neighbours (Å) after each atom.
Space group Cmcm (No. 63)
Asymmetric unit:
Pm 0.0000 0.0000 0.0000 (multiplicity 4)  6 S 2.82-2.85
Pm 0.0000 0.1742 0.2500 (multiplicity 4)  2 S 2.78, 2 Si 2.94
Pm 0.0000 0.2736 0.5844 (multiplicity 8)  5 S 2.81-2.86
Pm 0.0000 0.4494 0.1649 (multiplicity 8)  3 S 2.78-2.87, 2 Si 3.07
Si 0.0000 0.1651 0.7500 (multiplicity 4)  6 Pm 2.94-3.07
S 0.0000 0.0902 0.1254 (multiplicity 8)  6 Pm 2.78-2.87
S 0.0000 0.3625 0.0407 (multiplicity 8)  6 Pm 2.78-2.86

Properties
As for the uncorrected formation energy: -1.622 eV per atom. The density comes out at 6.21 Mg/m³.

=====

# 2
Ba2Na3Sr7: optimized geometry, PBE.

abc: 6.7379 4.1497 23.6344
angles: 90.00 97.82 90.00
With the nearest neighbours (Å) after each atom.
Space group P2/m (No. 10)
Asymmetric unit:
Ba 0.1563 0.0000 0.2884 (multiplicity 2)  5 Sr 3.96-4.29, 2 Ba 4.15
Na 0.0000 0.0000 0.0000 (multiplicity 1)  8 Sr 3.65-3.96
Na 0.3039 0.5000 0.6205 (multiplicity 2)  2 Na 4.15, 6 Sr 4.34-4.38, 4 Ba 4.48-4.51
Sr 0.0791 0.5000 0.1281 (multiplicity 2)  2 Na 3.65
Sr 0.2299 0.0000 0.4575 (multiplicity 2)  4 Sr 3.91-4.15, 1 Ba 3.96, 6 Na 4.34-4.38
Sr 0.3981 0.0000 0.8240 (multiplicity 2)  6 Sr 4.11-4.15, 2 Ba 4.27-4.28
Sr 0.5000 0.5000 0.0000 (multiplicity 1)  4 Na 3.96, 4 Sr 4.15-4.42

Properties
The value obtained for the formation energy is 109 meV per atom. The density comes out at 2.43 Mg/m³.

=====

# 3
Sc3MnPt: optimized geometry, PBE.

abc: 4.6685 4.6685 4.6685
angles: 90.00 90.00 90.00
With the nearest neighbours (Å) after each atom.
Space group Pm-3m (No. 221)
Asymmetric unit:
Sc 0.0000 0.0000 0.5000 (multiplicity 3)  2 Mn 2.33
Mn 0.0000 0.0000 0.0000 (multiplicity 1)  6 Sc 2.33
Pt 0.5000 0.5000 0.5000 (multiplicity 1)  12 Sc 3.30

Properties
As for the energy above the most stable polymorph in this dataset: 11 meV/atom. The value obtained for the formation energy is 36 meV per atom. The density comes out at 6.28 Mg/m³.

=====

# 4
ErPu3N4: optimized geometry, PBE.

abc: 6.9508 9.8130 3.4728
angles: 90.00 90.00 90.00
With the nearest neighbours (Å) after each atom.
Space group Cmmm (No. 65)
Asymmetric unit:
Er 0.0000 0.0000 0.0000 (multiplicity 2)  6 N 2.46
Pu 0.0000 0.5000 0.0000 (multiplicity 2)  6 N 2.45
Pu 0.2500 0.2500 0.5000 (multiplicity 4)  6 N 2.45-2.46
N 0.0000 0.2506 0.0000 (multiplicity 4)  5 Pu 2.45-2.46, 1 Er 2.46
N 0.2486 0.5000 0.5000 (multiplicity 4)  4 Pu 2.45, 2 Er 2.46

Properties
As for the uncorrected formation energy: -1.378 eV per atom. The density comes out at 13.39 Mg/m³.

=====

# 5
Nd8ZnCu2: optimized geometry, PBE.

abc: 8.8097 13.8397 5.5772
angles: 90.00 107.89 90.00
With the nearest neighbours (Å) after each atom.
Space group Cm (No. 8)
Asymmetric unit:
Nd 0.0000 0.0000 0.0000 (multiplicity 2)  2 Cu 3.16, 1 Zn 3.25, 2 Nd 3.29-3.44
Nd 0.0902 0.3783 0.7681 (multiplicity 4)  2 Cu 2.96-3.09
Nd 0.1858 0.1218 0.6072 (multiplicity 4)  2 Cu 2.96-3.09
Nd 0.2761 0.5000 0.3747 (multiplicity 2)  2 Cu 3.16, 1 Zn 3.25, 2 Nd 3.29-3.44
Nd 0.3880 0.2363 0.1874 (multiplicity 4)  2 Cu 2.96, 1 Zn 3.27
Zn 0.3880 0.0000 0.1843 (multiplicity 2)  8 Nd 3.25-3.61
Cu 0.3879 0.3086 0.6873 (multiplicity 4)  8 Nd 2.96-3.16

Properties
As for the energy above the most stable polymorph in this dataset: 107 meV/atom. The value obtained for the formation energy is 21 meV per atom. The density comes out at 6.91 Mg/m³.

=====

# 6
VTcGeW: optimized geometry, PBE.

abc: 6.1588 6.1588 6.1588
angles: 90.00 90.00 90.00
With the nearest neighbours (Å) after each atom.
Space group F-43m (No. 216)
Asymmetric unit:
V 0.0000 0.0000 0.0000 (multiplicity 4)  4 Ge 2.67, 4 W 2.67
Tc 0.0000 0.0000 0.5000 (multiplicity 4)  4 Ge 2.67, 4 W 2.67
Ge 0.2500 0.2500 0.2500 (multiplicity 4)  4 Tc 2.67, 4 V 2.67
W 0.2500 0.2500 0.7500 (multiplicity 4)  4 Tc 2.67, 4 V 2.67

Properties
The value obtained for the formation energy is -13 meV per atom. The density comes out at 11.53 Mg/m³.